VASP calculation (PBE) on a relaxed GaSbBr crystal.

## Properties
As for the density of states at the Fermi level: 0.117 states/eV/f.u. The raw total energy comes out at -3.23 eV per atom. As for the space group: No. 14. The calculation puts the formation energy (no corrections) at -0.2889 eV/atom. The total magnetic moment comes out at 0.00 μB/f.u.

Cell lengths 8.1114, 6.3068, 8.7642 Å; angles 90.00, 121.07, 90.00 degrees
Atoms (fractional coordinates):
Ga: 0.2436 0.2306 0.3690
Ga: 0.2436 0.2694 0.8690
Ga: 0.7564 0.7306 0.1310
Ga: 0.7564 0.7694 0.6310
Sb: 0.4665 0.2072 0.2248
Sb: 0.4665 0.2928 0.7248
Sb: 0.5335 0.7072 0.2752
Sb: 0.5335 0.7928 0.7752
Br: 0.0978 0.6462 0.8491
Br: 0.0978 0.8538 0.3491
Br: 0.9022 0.1462 0.6509
Br: 0.9022 0.3538 0.1509

---

VASP calculation (PBE) on a relaxed GaSb4Br4 crystal.

## Properties
As for the density of states at the Fermi level: 0.000 states/eV/f.u. The raw total energy comes out at -3.35 eV per atom. As for the space group: No. 33. The calculation puts the formation energy (no corrections) at -0.4367 eV/atom. The total magnetic moment comes out at 0.00 μB/f.u.

Cell lengths 20.5527, 9.9223, 14.2256 Å; angles 90.00, 90.00, 90.00 degrees
Atoms (fractional coordinates):
Ga: 0.0059 0.0188 0.0000
Ga: 0.1862 0.4911 0.3070
Ga: 0.3138 0.9911 0.8070
Ga: 0.4941 0.5188 0.5000
Ga: 0.5059 0.4812 0.0000
Ga: 0.6862 0.0089 0.3070
Ga: 0.8138 0.5089 0.8070
Ga: 0.9941 0.9812 0.5000
Sb: 0.0380 0.4107 0.7030
Sb: 0.0502 0.6948 0.7798
Sb: 0.0837 0.4495 0.8965
Sb: 0.1143 0.6281 0.6026
Sb: 0.1729 0.3547 0.6451
Sb: 0.1770 0.6827 0.8756
Sb: 0.2175 0.3920 0.8382
Sb: 0.2414 0.6147 0.6977
Sb: 0.2586 0.1147 0.1977
Sb: 0.2825 0.8920 0.3382
Sb: 0.3230 0.1827 0.3756
Sb: 0.3271 0.8547 0.1451
Sb: 0.3857 0.1281 0.1026
Sb: 0.4163 0.9495 0.3965
Sb: 0.4498 0.1948 0.2798
Sb: 0.4620 0.9107 0.2030
Sb: 0.5380 0.0893 0.7030
Sb: 0.5502 0.8052 0.7798
Sb: 0.5837 0.0505 0.8965
Sb: 0.6143 0.8719 0.6026
Sb: 0.6729 0.1453 0.6451
Sb: 0.6770 0.8173 0.8756
Sb: 0.7175 0.1080 0.8382
Sb: 0.7414 0.8853 0.6977
Sb: 0.7586 0.3853 0.1977
Sb: 0.7825 0.6080 0.3382
Sb: 0.8230 0.3173 0.3756
Sb: 0.8271 0.6453 0.1451
Sb: 0.8857 0.3719 0.1026
Sb: 0.9163 0.5505 0.3965
Sb: 0.9498 0.3052 0.2798
Sb: 0.9620 0.5893 0.2030
Br: 0.0175 0.0477 0.8361
Br: 0.0571 0.2008 0.0804
Br: 0.0576 0.8142 0.0435
Br: 0.1043 0.9871 0.5473
Br: 0.1108 0.6684 0.3251
Br: 0.1440 0.2829 0.3604
Br: 0.2183 0.4730 0.1478
Br: 0.2209 0.0414 0.9012
Br: 0.2791 0.5414 0.4012
Br: 0.2817 0.9730 0.6478
Br: 0.3560 0.7829 0.8604
Br: 0.3892 0.1684 0.8251
Br: 0.3957 0.4871 0.0473
Br: 0.4424 0.3142 0.5435
Br: 0.4429 0.7008 0.5804
Br: 0.4825 0.5477 0.3361
Br: 0.5175 0.4523 0.8361
Br: 0.5571 0.2992 0.0804
Br: 0.5576 0.6858 0.0435
Br: 0.6043 0.5129 0.5473
Br: 0.6108 0.8316 0.3251
Br: 0.6440 0.2171 0.3604
Br: 0.7183 0.0270 0.1478
Br: 0.7209 0.4586 0.9012
Br: 0.7791 0.9586 0.4012
Br: 0.7817 0.5270 0.6478
Br: 0.8560 0.7171 0.8604
Br: 0.8892 0.3316 0.8251
Br: 0.8957 0.0129 0.0473
Br: 0.9424 0.1858 0.5435
Br: 0.9429 0.7992 0.5804
Br: 0.9825 0.9523 0.3361

---

VASP calculation (PBE) on a relaxed GaSb3Br crystal.

## Properties
As for the density of states at the Fermi level: 4.385 states/eV/f.u. The raw total energy comes out at -2.91 eV per atom. As for the space group: No. 221. The calculation puts the formation energy (no corrections) at 0.5069 eV/atom. The total magnetic moment comes out at 0.00 μB/f.u.

Cell lengths 5.3818, 5.3818, 5.3818 Å; angles 90.00, 90.00, 90.00 degrees
Atoms (fractional coordinates):
Ga: 0.0000 0.0000 0.0000
Sb: 0.0000 0.0000 0.5000
Sb: 0.0000 0.5000 0.0000
Sb: 0.5000 0.0000 0.0000
Br: 0.5000 0.5000 0.5000

---

VASP calculation (PBE) on a relaxed Ga2SbBr crystal.

## Properties
As for the density of states at the Fermi level: 0.404 states/eV/f.u. The raw total energy comes out at -2.96 eV per atom. As for the space group: No. 122. The calculation puts the formation energy (no corrections) at -0.0015 eV/atom. The total magnetic moment comes out at 0.00 μB/f.u.

Cell lengths 7.2623, 7.2623, 9.7974 Å; angles 90.00, 90.00, 90.00 degrees
Atoms (fractional coordinates):
Ga: 0.2318 0.2500 0.1250
Ga: 0.2500 0.7318 0.3750
Ga: 0.2500 0.7682 0.8750
Ga: 0.2682 0.2500 0.6250
Ga: 0.7318 0.7500 0.6250
Ga: 0.7500 0.2318 0.8750
Ga: 0.7500 0.2682 0.3750
Ga: 0.7682 0.7500 0.1250
Sb: 0.0000 0.0000 0.0000
Sb: 0.0000 0.5000 0.2500
Sb: 0.5000 0.0000 0.7500
Sb: 0.5000 0.5000 0.5000
Br: 0.0000 0.0000 0.5000
Br: 0.0000 0.5000 0.7500
Br: 0.5000 0.0000 0.2500
Br: 0.5000 0.5000 0.0000

---

VASP calculation (PBE) on a relaxed Ga2SbBr8 crystal.

## Properties
The raw total energy comes out at -2.81 eV per atom. As for the space group: No. 12. The calculation puts the formation energy (no corrections) at -0.6697 eV/atom. The total magnetic moment comes out at 1.00 μB/f.u.

Cell lengths 8.0194, 8.0194, 7.6524 Å; angles 91.73, 91.73, 77.69 degrees
Atoms (fractional coordinates):
Ga: 0.2186 0.2186 0.1858
Ga: 0.7814 0.7814 0.8142
Sb: 0.0000 0.0000 0.5000
Br: 0.0691 0.6946 0.6952
Br: 0.1964 0.1964 0.8837
Br: 0.3054 0.9309 0.3048
Br: 0.3914 0.3914 0.3029
Br: 0.6086 0.6086 0.6971
Br: 0.6946 0.0691 0.6952
Br: 0.8036 0.8036 0.1163
Br: 0.9309 0.3054 0.3048

---

VASP calculation (PBE) on a relaxed GaSbBr2 crystal.

## Properties
As for the density of states at the Fermi level: 3.707 states/eV/f.u. The raw total energy comes out at -2.56 eV per atom. As for the space group: No. 225. The calculation puts the formation energy (no corrections) at 0.0647 eV/atom. The total magnetic moment comes out at 0.00 μB/f.u.

Cell lengths 7.5590, 7.5590, 7.5590 Å; angles 90.00, 90.00, 90.00 degrees
Atoms (fractional coordinates):
Ga: 0.0000 0.0000 0.0000
Ga: 0.0000 0.5000 0.5000
Ga: 0.5000 0.0000 0.5000
Ga: 0.5000 0.5000 0.0000
Sb: 0.0000 0.0000 0.5000
Sb: 0.0000 0.5000 0.0000
Sb: 0.5000 0.0000 0.0000
Sb: 0.5000 0.5000 0.5000
Br: 0.2500 0.2500 0.2500
Br: 0.2500 0.2500 0.7500
Br: 0.2500 0.7500 0.2500
Br: 0.2500 0.7500 0.7500
Br: 0.7500 0.2500 0.2500
Br: 0.7500 0.2500 0.7500
Br: 0.7500 0.7500 0.2500
Br: 0.7500 0.7500 0.7500

---

VASP calculation (PBE) on a relaxed GaSbSe2Br crystal.

## Properties
As for the density of states at the Fermi level: 1.320 states/eV/f.u. The raw total energy comes out at -3.15 eV per atom. As for the space group: No. 123. The calculation puts the formation energy (no corrections) at 0.0125 eV/atom. The total magnetic moment comes out at 0.00 μB/f.u.

Cell lengths 5.3362, 5.3362, 5.6900 Å; angles 90.00, 90.00, 90.00 degrees
Atoms (fractional coordinates):
Ga: 0.0000 0.0000 0.0000
Sb: 0.5000 0.5000 0.5000
Se: 0.0000 0.5000 0.5000
Se: 0.5000 0.0000 0.5000
Br: 0.5000 0.5000 0.0000

---

VASP calculation (PBE) on a relaxed GaSbSe2Br crystal.

## Properties
As for the density of states at the Fermi level: 3.264 states/eV/f.u. The raw total energy comes out at -3.04 eV per atom. As for the space group: No. 123. The calculation puts the formation energy (no corrections) at 0.1137 eV/atom. The total magnetic moment comes out at 0.00 μB/f.u.

Cell lengths 5.0892, 5.0892, 4.9426 Å; angles 90.00, 90.00, 90.00 degrees
Atoms (fractional coordinates):
Ga: 0.0000 0.0000 0.0000
Sb: 0.5000 0.5000 0.5000
Se: 0.0000 0.5000 0.0000
Se: 0.5000 0.0000 0.0000
Br: 0.0000 0.0000 0.5000

---

VASP calculation (PBE) on a relaxed SrGaSb2Br crystal.

## Properties
As for the density of states at the Fermi level: 2.779 states/eV/f.u. The raw total energy comes out at -3.27 eV per atom. As for the space group: No. 123. The calculation puts the formation energy (no corrections) at -0.3456 eV/atom. The total magnetic moment comes out at 0.00 μB/f.u.

Cell lengths 5.2615, 5.2615, 5.9326 Å; angles 90.00, 90.00, 90.00 degrees
Atoms (fractional coordinates):
Sr: 0.0000 0.0000 0.0000
Ga: 0.5000 0.5000 0.5000
Sb: 0.0000 0.5000 0.5000
Sb: 0.5000 0.0000 0.5000
Br: 0.5000 0.5000 0.0000

---

VASP calculation (PBE) on a relaxed GaSb2TeBr crystal.

## Properties
As for the density of states at the Fermi level: 6.762 states/eV/f.u. The raw total energy comes out at -2.41 eV per atom. As for the space group: No. 123. The calculation puts the formation energy (no corrections) at 0.8079 eV/atom. The total magnetic moment comes out at 0.69 μB/f.u.

Cell lengths 5.5352, 5.5352, 5.8970 Å; angles 90.00, 90.00, 90.00 degrees
Atoms (fractional coordinates):
Ga: 0.0000 0.0000 0.0000
Sb: 0.0000 0.5000 0.5000
Sb: 0.5000 0.0000 0.5000
Te: 0.5000 0.5000 0.0000
Br: 0.5000 0.5000 0.5000

---

VASP calculation (PBE) on a relaxed GaSb2TeBr crystal.

## Properties
As for the density of states at the Fermi level: 2.785 states/eV/f.u. The raw total energy comes out at -2.79 eV per atom. As for the space group: No. 123. The calculation puts the formation energy (no corrections) at 0.4236 eV/atom. The total magnetic moment comes out at 0.00 μB/f.u.

Cell lengths 5.4212, 5.4212, 5.3239 Å; angles 90.00, 90.00, 90.00 degrees
Atoms (fractional coordinates):
Ga: 0.0000 0.0000 0.0000
Sb: 0.0000 0.5000 0.0000
Sb: 0.5000 0.0000 0.0000
Te: 0.0000 0.0000 0.5000
Br: 0.5000 0.5000 0.5000

---

VASP calculation (PBE) on a relaxed TlGa2SbBr crystal.

## Properties
As for the density of states at the Fermi level: 4.875 states/eV/f.u. The raw total energy comes out at -2.34 eV per atom. As for the space group: No. 123. The calculation puts the formation energy (no corrections) at 0.5006 eV/atom. The total magnetic moment comes out at 0.00 μB/f.u.

Cell lengths 5.3686, 5.3686, 5.7386 Å; angles 90.00, 90.00, 90.00 degrees
Atoms (fractional coordinates):
Tl: 0.0000 0.0000 0.0000
Ga: 0.0000 0.5000 0.0000
Ga: 0.5000 0.0000 0.0000
Sb: 0.5000 0.5000 0.5000
Br: 0.0000 0.0000 0.5000